(1)
Here is a relaxed LiBH2 crystal from Alexandria via LeMat-Bulk. Energies are from GGA-PBE.

Total magnetic moment: 0.00 μB per cell
Excess energy over the best structure of this formula in the dataset: 22 meV per atom

abc: 3.1591 4.0000 8.7848
angles: 90.00 90.00 90.00
Fractional coordinates of all 16 atoms:
Li: 0.2500 0.4122 0.3639
Li: 0.2500 0.0878 0.8639
Li: 0.7500 0.5878 0.6361
Li: 0.7500 0.9122 0.1361
B: 0.2500 0.0295 0.5487
B: 0.2500 0.4705 0.0487
B: 0.7500 0.9705 0.4513
B: 0.7500 0.5295 0.9513
H: 0.2500 0.8618 0.6696
H: 0.2500 0.6382 0.1696
H: 0.7500 0.1382 0.3304
H: 0.7500 0.3618 0.8304
H: 0.2500 0.3192 0.6049
H: 0.2500 0.1808 0.1049
H: 0.7500 0.6808 0.3951
H: 0.7500 0.8192 0.8951

(2)
Here is a relaxed LiB3H crystal from Alexandria via LeMat-Bulk. Energies are from GGA-PBE.

Total magnetic moment: 0.00 μB per cell
Excess energy over the best structure of this formula in the dataset: 1207 meV per atom

abc: 3.5190 3.5190 3.5190
angles: 90.00 90.00 90.00
Fractional coordinates of all 5 atoms:
H: 0.5000 0.5000 0.5000
B: 0.0000 0.5000 0.0000
B: 0.0000 0.0000 0.5000
B: 0.5000 0.0000 0.0000
Li: 0.0000 0.0000 0.0000

(3)
Here is a relaxed LiBH4 crystal from Alexandria via LeMat-Bulk. Energies are from GGA-PBE.

Total magnetic moment: 0.00 μB per cell
Excess energy over the best structure of this formula in the dataset: 20 meV per atom

abc: 3.9798 3.9798 6.2585
angles: 90.00 90.00 90.27
Fractional coordinates of all 12 atoms:
Li: 0.9948 0.9948 0.5000
Li: 0.9948 0.9948 0.0000
B: 0.5147 0.9871 0.7500
B: 0.9871 0.5147 0.2500
H: 0.5279 0.1659 0.5909
H: 0.1659 0.5279 0.4091
H: 0.5279 0.1659 0.9091
H: 0.1659 0.5279 0.0909
H: 0.7370 0.7757 0.7500
H: 0.7757 0.7370 0.2500
H: 0.2579 0.8180 0.7500
H: 0.8180 0.2579 0.2500

(4)
Here is a relaxed Li3BH6 crystal from Alexandria via LeMat-Bulk. Energies are from GGA-PBE.

Total magnetic moment: 0.00 μB per cell
Excess energy over the best structure of this formula in the dataset: 106 meV per atom

abc: 5.1591 5.1591 5.1591
angles: 92.35 92.35 92.35
Fractional coordinates of all 20 atoms:
Li: 0.4192 0.9129 0.7425
Li: 0.9129 0.7425 0.4192
Li: 0.7425 0.4192 0.9129
Li: 0.5808 0.0871 0.2575
Li: 0.0871 0.2575 0.5808
Li: 0.2575 0.5808 0.0871
B: 0.0000 0.0000 0.0000
B: 0.5000 0.5000 0.5000
H: 0.9206 0.7348 0.0506
H: 0.7348 0.0506 0.9206
H: 0.0506 0.9206 0.7348
H: 0.0794 0.2652 0.9494
H: 0.2652 0.9494 0.0794
H: 0.9494 0.0794 0.2652
H: 0.2336 0.5514 0.4333
H: 0.5514 0.4333 0.2336
H: 0.4333 0.2336 0.5514
H: 0.7664 0.4486 0.5667
H: 0.4486 0.5667 0.7664
H: 0.5667 0.7664 0.4486

(5)
Here is a relaxed LiBH2 crystal from Alexandria via LeMat-Bulk. Energies are from GGA-PBE.

Total magnetic moment: 0.00 μB per cell
Excess energy over the best structure of this formula in the dataset: 0 meV per atom

abc: 3.1449 4.3789 4.9021
angles: 82.18 89.69 69.01
Fractional coordinates of all 8 atoms:
Li: 0.8494 0.1141 0.6386
Li: 0.5849 0.6505 0.1942
B: 0.5848 0.6414 0.6980
B: 0.0989 0.6164 0.5214
H: 0.4581 0.8930 0.8202
H: 0.2232 0.3693 0.3921
H: 0.6971 0.4114 0.8982
H: 0.9856 0.8470 0.3147

(6)
Here is a relaxed LiBH4 crystal from Alexandria via LeMat-Bulk. Energies are from GGA-PBE.

Total magnetic moment: 0.00 μB per cell
Excess energy over the best structure of this formula in the dataset: 51 meV per atom

abc: 5.2500 5.2499 5.2544
angles: 78.84 78.83 127.76
Fractional coordinates of all 12 atoms:
Li: 0.8750 0.6250 0.2500
Li: 0.1250 0.3750 0.7500
B: 0.6250 0.8750 0.7500
B: 0.3750 0.1250 0.2500
H: 0.3234 0.7262 0.9026
H: 0.6288 0.7261 0.5973
H: 0.2261 0.1289 0.0974
H: 0.6766 0.2737 0.0974
H: 0.2262 0.8234 0.4027
H: 0.7739 0.8711 0.9026
H: 0.3712 0.2739 0.4027
H: 0.7738 0.1766 0.5973

(7)
Here is a relaxed LiBH crystal from Alexandria via LeMat-Bulk. Energies are from GGA-PBE.

Total magnetic moment: 0.00 μB per cell
Excess energy over the best structure of this formula in the dataset: 460 meV per atom

abc: 2.7454 3.1367 6.7022
angles: 103.53 101.82 90.00
Fractional coordinates of all 6 atoms:
H: 0.2397 0.2397 0.4794
H: 0.7603 0.7603 0.5206
B: 0.5000 0.7484 0.0000
B: 0.5000 0.2516 0.0000
Li: 0.8323 0.3323 0.6645
Li: 0.1677 0.6677 0.3355

(8)
Here is a relaxed LiB4H4 crystal from Alexandria via LeMat-Bulk. Energies are from GGA-PBE.

Total magnetic moment: 0.00 μB per cell
Uncorrected energy: -4.83 eV/atom

abc: 6.5736 6.5736 6.5736
angles: 130.35 130.35 72.85
Fractional coordinates of all 18 atoms:
Li: 0.2500 0.7500 0.5000
Li: 0.7500 0.2500 0.5000
B: 0.2275 0.0212 0.0000
B: 0.0212 0.2275 0.0000
B: 0.9788 0.9788 0.2063
B: 0.7725 0.7725 0.7937
B: 0.8071 0.1315 0.0000
B: 0.1315 0.8071 0.0000
B: 0.8685 0.8685 0.6756
B: 0.1929 0.1929 0.3244
H: 0.4153 0.0075 0.0000
H: 0.0075 0.4153 0.0000
H: 0.9925 0.9925 0.4077
H: 0.5847 0.5847 0.5923
H: 0.6306 0.2536 0.0000
H: 0.2536 0.6306 0.0000
H: 0.7464 0.7464 0.3769
H: 0.3694 0.3694 0.6231

(9)
Here is a relaxed Li2BH6 crystal from Alexandria via LeMat-Bulk. Energies are from GGA-PBE.

Total magnetic moment: 0.00 μB per cell
Excess energy over the best structure of this formula in the dataset: 24 meV per atom

abc: 4.1291 4.1291 4.1291
angles: 60.00 60.00 60.00
Fractional coordinates of all 9 atoms:
H: 0.2412 0.7588 0.2412
H: 0.7588 0.2412 0.2412
H: 0.2412 0.7588 0.7588
H: 0.7588 0.2412 0.7588
H: 0.7588 0.7588 0.2412
H: 0.2412 0.2412 0.7588
B: 0.0000 0.0000 0.0000
Li: 0.7500 0.7500 0.7500
Li: 0.2500 0.2500 0.2500

(10)
Here is a relaxed LiBH5 crystal from Alexandria via LeMat-Bulk. Energies are from GGA-PBE.

Total magnetic moment: 0.00 μB per cell
Uncorrected energy: -3.45 eV/atom

abc: 3.7669 3.7669 5.8693
angles: 90.04 90.04 90.34
Fractional coordinates of all 14 atoms:
Li: 0.5908 0.4092 0.2500
Li: 0.4092 0.5908 0.7500
B: 0.0000 0.0000 0.0000
B: 0.0000 0.0000 0.5000
H: 0.7511 0.7508 0.9998
H: 0.2428 0.7572 0.4579
H: 0.7508 0.7511 0.4998
H: 0.9676 0.0324 0.2500
H: 0.2428 0.7572 0.0421
H: 0.7572 0.2428 0.9579
H: 0.0324 0.9676 0.7500
H: 0.2492 0.2489 0.5002
H: 0.7572 0.2428 0.5421
H: 0.2489 0.2492 0.0002

(11)
Here is a relaxed LiB3H8 crystal from Alexandria via LeMat-Bulk. Energies are from GGA-PBE.

Total magnetic moment: 0.00 μB per cell
Uncorrected energy: -4.27 eV/atom

abc: 5.9338 5.9338 5.7410
angles: 90.00 90.00 96.51
Fractional coordinates of all 24 atoms:
Li: 0.4402 0.5598 0.7500
Li: 0.5598 0.4402 0.2500
B: 0.8720 0.1280 0.7500
B: 0.1280 0.8720 0.2500
B: 0.6968 0.3032 0.9036
B: 0.3032 0.6968 0.0964
B: 0.3032 0.6968 0.4036
B: 0.6968 0.3032 0.5964
H: 0.8140 0.9270 0.7500
H: 0.9270 0.8140 0.2500
H: 0.7723 0.4890 0.9790
H: 0.4890 0.7723 0.0210
H: 0.4890 0.7723 0.4790
H: 0.7723 0.4890 0.5210
H: 0.0730 0.1860 0.7500
H: 0.1860 0.0730 0.2500
H: 0.2277 0.5110 0.4790
H: 0.5110 0.2277 0.5210
H: 0.5110 0.2277 0.9790
H: 0.2277 0.5110 0.0210
H: 0.8265 0.1735 0.9936
H: 0.1735 0.8265 0.0064
H: 0.1735 0.8265 0.4936
H: 0.8265 0.1735 0.5064

(12)
Here is a relaxed Li2BH4 crystal from Alexandria via LeMat-Bulk. Energies are from GGA-PBE.

Total magnetic moment: 0.00 μB per cell
Excess energy over the best structure of this formula in the dataset: 183 meV per atom

abc: 3.0417 3.0417 5.5447
angles: 74.08 74.08 90.00
Fractional coordinates of all 7 atoms:
H: 0.1474 0.1474 0.7052
H: 0.8526 0.8526 0.2948
H: 0.0000 0.5000 0.0000
H: 0.5000 0.0000 0.0000
B: 0.0000 0.0000 0.0000
Li: 0.3564 0.3564 0.2872
Li: 0.6436 0.6436 0.7128

(13)
Here is a relaxed LiBH4 crystal from Alexandria via LeMat-Bulk. Energies are from GGA-PBE.

Total magnetic moment: 0.00 μB per cell
Excess energy over the best structure of this formula in the dataset: 0 meV per atom

abc: 4.3284 6.5759 7.1633
angles: 90.00 90.00 90.00
Fractional coordinates of all 24 atoms:
Li: 0.2500 0.3874 0.6558
Li: 0.2500 0.1126 0.1558
Li: 0.7500 0.6126 0.3442
Li: 0.7500 0.8874 0.8442
B: 0.2500 0.0755 0.8084
B: 0.2500 0.4245 0.3084
B: 0.7500 0.9245 0.1916
B: 0.7500 0.5755 0.6916
H: 0.2500 0.5749 0.4091
H: 0.2500 0.9251 0.9091
H: 0.7500 0.4251 0.5909
H: 0.7500 0.0749 0.0909
H: 0.2500 0.2315 0.9026
H: 0.2500 0.2685 0.4026
H: 0.7500 0.7685 0.0974
H: 0.7500 0.7315 0.5974
H: 0.0234 0.0763 0.7060
H: 0.4766 0.4237 0.2060
H: 0.5234 0.9237 0.2940
H: 0.9766 0.5763 0.7940
H: 0.9766 0.9237 0.2940
H: 0.5234 0.5763 0.7940
H: 0.4766 0.0763 0.7060
H: 0.0234 0.4237 0.2060

(14)
Here is a relaxed LiB2H8 crystal from Alexandria via LeMat-Bulk. Energies are from GGA-PBE.

Total magnetic moment: 0.00 μB per cell
Excess energy over the best structure of this formula in the dataset: 21 meV per atom

abc: 2.9220 5.7034 5.7034
angles: 82.97 75.31 75.31
Fractional coordinates of all 11 atoms:
Li: 0.0000 0.0000 0.0000
B: 0.7264 0.7712 0.7712
B: 0.2736 0.2288 0.2288
H: 0.3502 0.2891 0.0122
H: 0.6498 0.9878 0.7109
H: 0.2539 0.7444 0.7444
H: 0.7461 0.2556 0.2556
H: 0.3502 0.0122 0.2891
H: 0.6498 0.7109 0.9878
H: 0.8770 0.6201 0.6201
H: 0.1230 0.3799 0.3799

(15)
Here is a relaxed LiB4H12 crystal from Alexandria via LeMat-Bulk. Energies are from GGA-PBE.

Total magnetic moment: 0.00 μB per cell
Uncorrected energy: -3.71 eV/atom

abc: 4.9839 4.9839 4.9839
angles: 109.47 109.47 109.47
Fractional coordinates of all 17 atoms:
Li: 0.0000 0.0000 0.0000
B: 0.0000 0.5000 0.0000
B: 0.5000 0.0000 0.0000
B: 0.5000 0.5000 0.5000
B: 0.0000 0.0000 0.5000
H: 0.7464 0.2545 0.0008
H: 0.2545 0.5081 0.2536
H: 0.9992 0.2536 0.7455
H: 0.2545 0.0008 0.7464
H: 0.0008 0.7464 0.2545
H: 0.7455 0.4919 0.7464
H: 0.5081 0.2536 0.2545
H: 0.4919 0.7464 0.7455
H: 0.7455 0.9992 0.2536
H: 0.7464 0.7455 0.4919
H: 0.2536 0.2545 0.5081
H: 0.2536 0.7455 0.9992

(16)
Here is a relaxed LiBH6 crystal from Alexandria via LeMat-Bulk. Energies are from GGA-PBE.

Total magnetic moment: 0.00 μB per cell
Uncorrected energy: -3.37 eV/atom

abc: 4.0919 5.9453 3.9478
angles: 41.15 62.40 52.03
Fractional coordinates of all 8 atoms:
Li: 0.0000 0.0000 0.0000
B: 0.5000 0.5000 0.0000
H: 0.8525 0.5256 0.6057
H: 0.8525 0.1313 0.3943
H: 0.1475 0.8687 0.6057
H: 0.1475 0.4744 0.3943
H: 0.5709 0.6723 0.0000
H: 0.4291 0.3277 0.0000

(17)
Here is a relaxed LiBH4 crystal from Alexandria via LeMat-Bulk. Energies are from GGA-PBE.

Total magnetic moment: 0.00 μB per cell
Excess energy over the best structure of this formula in the dataset: 497 meV per atom

abc: 4.5074 4.0181 4.1512
angles: 90.00 109.45 90.00
Fractional coordinates of all 12 atoms:
Li: 0.0000 0.0000 0.0000
Li: 0.5000 0.5000 0.0000
B: 0.5000 0.0000 0.5000
B: 0.0000 0.5000 0.5000
H: 0.9137 0.6133 0.1982
H: 0.5863 0.1133 0.8018
H: 0.2294 0.2572 0.4132
H: 0.2706 0.7572 0.5868
H: 0.0863 0.3867 0.8018
H: 0.4137 0.8867 0.1982
H: 0.7706 0.7428 0.5868
H: 0.7294 0.2428 0.4132

(18)
Here is a relaxed LiB2H6 crystal from Alexandria via LeMat-Bulk. Energies are from GGA-PBE.

Total magnetic moment: 0.00 μB per cell
Excess energy over the best structure of this formula in the dataset: 94 meV per atom

abc: 3.9818 7.1819 4.8457
angles: 53.00 37.58 74.09
Fractional coordinates of all 9 atoms:
Li: 0.0000 0.0000 0.0000
B: 0.8903 0.8383 0.7518
B: 0.1097 0.1617 0.2482
H: 0.1108 0.7622 0.8656
H: 0.4439 0.3397 0.0148
H: 0.6462 0.2063 0.7056
H: 0.8892 0.2378 0.1344
H: 0.5561 0.6603 0.9852
H: 0.3538 0.7937 0.2944

(19)
Here is a relaxed Li5B2H12 crystal from Alexandria via LeMat-Bulk. Energies are from GGA-PBE.

Total magnetic moment: 0.13 μB per cell
Uncorrected energy: -3.37 eV/atom

abc: 4.9968 5.3372 8.1326
angles: 85.18 90.00 117.91
Fractional coordinates of all 19 atoms:
Li: 0.2828 0.5656 0.5873
Li: 0.4414 0.8827 0.2725
Li: 0.0000 0.0000 0.5000
Li: 0.5586 0.1173 0.7275
Li: 0.7172 0.4344 0.4127
B: 0.8268 0.0000 0.0000
B: 0.1732 0.0000 0.0000
H: 0.0566 0.1131 0.0976
H: 0.1849 0.8025 0.0741
H: 0.6176 0.8025 0.0741
H: 0.1123 0.7300 0.4324
H: 0.6177 0.7300 0.4324
H: 0.3735 0.7470 0.7676
H: 0.6265 0.2530 0.2324
H: 0.8877 0.2700 0.5676
H: 0.3823 0.2700 0.5676
H: 0.8151 0.1975 0.9259
H: 0.3824 0.1975 0.9259
H: 0.9434 0.8869 0.9024